(1)
Ac2InSn4Ir3 (PBE, optimized geometry); calculated total energy = -5.8681 eV/atom; formation energy from the elements = -0.51 eV/atom; space group = P-4m2, No. 115
1.0
4.642 0.000 0.000
0.000 4.642 0.000
0.000 0.000 11.246
Ac Ir Sn In
2 3 4 1
Cartesian
0.000 2.321 8.535
2.321 0.000 2.711
0.000 0.000 5.623
0.000 2.321 1.378
2.321 0.000 9.868
2.321 2.321 0.000
2.321 0.000 7.250
0.000 0.000 0.000
0.000 2.321 3.996
2.321 2.321 5.623


(2)
In2P2Ru (PBE, optimized geometry); calculated total energy = -5.1660 eV/atom; formation energy from the elements = -0.05 eV/atom; space group = P4/mbm, No. 127
1.0
-0.957 5.884 -0.695
-3.724 -0.050 4.706
4.157 1.066 3.301
In Ru P
4 2 4
Cartesian
1.060 2.316 2.358
0.174 5.252 2.525
-1.583 4.584 4.954
-0.698 1.647 4.787
-2.340 2.917 2.006
0.000 0.000 0.000
-1.499 0.753 1.645
-1.092 3.707 0.179
-3.588 2.127 3.833
-3.182 5.081 2.367


(3)
RhSCl2O (PBE, optimized geometry); calculated total energy = -3.4562 eV/atom; ΔE to the lowest computed polymorph = 0 meV/atom; space group = P4/mmm, No. 123
1.0
-0.690 3.687 -3.210
-4.160 -2.146 -1.571
-2.285 2.210 3.030
O Cl Rh S
1 2 1 1
Cartesian
-3.567 1.876 -0.875
-2.080 -1.073 -0.785
-0.345 1.844 -1.605
0.000 0.000 0.000
-1.142 1.105 1.515


(4)
NdNpSn (PBE, optimized geometry); calculated total energy = -7.5196 eV/atom; formation energy from the elements = -0.28 eV/atom; space group = P2_1/m, No. 11
1.0
-1.023 -2.584 -2.531
-1.358 -3.011 3.622
-3.611 14.710 3.183
Np Nd Sn
2 2 2
Cartesian
-2.977 5.029 0.253
-3.016 4.086 4.022
-4.269 10.018 4.056
-1.724 -0.902 0.218
-4.588 6.863 4.614
-1.404 2.252 -0.339


(5)
Be2CrW (PBE, optimized geometry); calculated total energy = -7.0605 eV/atom; ΔE to the lowest computed polymorph = 519 meV/atom; formation energy from the elements = 0.45 eV/atom; space group = R-3m, No. 166
1.0
8.202 -0.008 -0.005
7.782 2.591 -0.005
7.782 1.257 2.266
Be Cr W
2 1 1
Cartesian
11.976 1.935 1.137
23.674 3.825 2.247
5.942 0.960 0.564
17.825 2.880 1.692


(6)
BaTl2Cd (PBE, optimized geometry); calculated total energy = -2.1000 eV/atom; formation energy from the elements = -0.21 eV/atom; space group = P4/mmm, No. 123
1.0
4.779 0.000 0.000
0.000 5.283 0.000
0.000 0.000 5.283
Tl Ba Cd
2 1 1
Cartesian
0.000 2.642 0.000
0.000 0.000 2.642
2.389 2.642 2.642
2.389 0.000 0.000


Values for density of states at the Fermi level, states/eV/f.u., ordered as above
5.424; 2.848; 5.150; 5.208; 2.611; 3.362
Values for V, Å³ per atom, ordered as above
24.23; 19.50; 21.41; 27.51; 12.10; 33.35
Values for total magnetization, Bohr magnetons per cell, ordered as above
0.000; 0.000; 2.046; 4.373; 0.001; 0.000